(1)
The following is a PBEsol calculation of a relaxed Te6Br2O11 crystal, from Alexandria via LeMat-Bulk.

Calculated values
ΔE_f (raw): -92.8 kJ/mol of atoms
magnetization: 0.00 μB per formula unit
symmetry: No. 63

Unit cell a=6.743 b=6.743 c=15.529 alpha=90.00 beta=90.00 gamma=119.04
Sites, in units of the cell vectors:
O1 0.487 0.180 0.038
Te1 0.085 0.085 0.360
O2 0.820 0.513 0.538
Br1 0.149 0.491 0.250
O3 0.940 0.940 0.250
O4 0.052 0.807 0.406
O5 0.060 0.060 0.750
O6 0.948 0.193 0.906
Te2 0.915 0.915 0.860
Te3 0.797 0.475 0.414
Te4 0.797 0.475 0.086
Te5 0.203 0.525 0.586
Br2 0.851 0.509 0.750
O7 0.180 0.487 0.038
O8 0.487 0.180 0.462
Te6 0.475 0.797 0.414
O9 0.513 0.820 0.538
O10 0.193 0.948 0.906
O11 0.193 0.948 0.594
O12 0.583 0.583 0.112
O13 0.417 0.417 0.612
Br3 0.509 0.851 0.750
O14 0.807 0.052 0.094
O15 0.513 0.820 0.962
Te7 0.085 0.085 0.140
Te8 0.525 0.203 0.586
O16 0.807 0.052 0.406
O17 0.180 0.487 0.462
Te9 0.203 0.525 0.914
Te10 0.475 0.797 0.086
O18 0.583 0.583 0.388
O19 0.052 0.807 0.094
Te11 0.915 0.915 0.640
O20 0.417 0.417 0.888
Te12 0.525 0.203 0.914
Br4 0.491 0.149 0.250
O21 0.948 0.193 0.594
O22 0.820 0.513 0.962

---

(2)
The following is a PBEsol calculation of a relaxed Te15W2Br12O2 crystal, from Alexandria via LeMat-Bulk.

Calculated values
ΔE_f (raw): -13.5 kJ/mol of atoms
magnetization: 0.00 μB per formula unit
symmetry: No. 1

Unit cell a=9.560 b=7.135 c=14.328 alpha=98.95 beta=93.10 gamma=94.98
Sites, in units of the cell vectors:
Te1 0.525 0.058 0.637
Te2 0.639 0.822 0.399
Br1 0.873 0.374 0.070
Te3 0.246 0.757 0.460
Br2 0.330 0.726 0.897
Br3 0.808 0.019 0.198
Te4 0.755 0.225 0.543
Te5 0.700 0.473 0.304
Te6 0.992 0.831 0.988
Br4 0.633 0.723 0.008
O1 0.151 0.858 0.346
Te7 0.218 0.389 0.290
Br5 0.017 0.259 0.430
Br6 0.223 0.107 0.817
Te8 0.986 0.435 0.802
Br7 0.778 0.053 0.863
W1 0.232 0.997 0.982
Te9 0.459 0.565 0.200
Br8 0.310 0.952 0.141
Te10 0.958 0.105 0.657
O2 0.474 0.799 0.291
Te11 0.748 0.581 0.743
Te12 0.054 0.666 0.246
Br9 0.872 0.722 0.499
Br10 0.188 0.328 0.036
W2 0.745 0.051 0.030
Br11 0.486 0.250 0.405
Te13 0.534 0.353 0.798
Br12 0.356 0.600 0.620
Te14 0.272 0.148 0.539
Te15 0.519 0.209 0.016

---

(3)
The following is a PBEsol calculation of a relaxed Zr2Te4Br2O11 crystal, from Alexandria via LeMat-Bulk.

Calculated values
ΔE_f (raw): -167.6 kJ/mol of atoms
magnetization: 0.00 μB per formula unit
symmetry: No. 2

Unit cell a=7.804 b=9.630 c=10.527 alpha=112.71 beta=107.04 gamma=98.22
Sites, in units of the cell vectors:
Br1 0.900 0.629 0.632
O1 0.494 0.638 0.326
O2 0.067 0.323 0.676
O3 0.446 0.179 0.835
O4 0.585 0.493 0.104
O5 0.177 0.632 0.920
O6 0.071 0.112 0.827
Zr1 0.111 0.888 0.378
O7 0.824 0.583 0.943
Te1 0.258 0.005 0.784
Te2 0.988 0.236 0.997
Te3 0.482 0.263 0.474
Te4 0.776 0.481 0.261
Te5 0.012 0.764 0.003
O8 0.181 0.756 0.177
Te6 0.224 0.519 0.739
Zr2 0.627 0.389 0.892
O9 0.823 0.368 0.080
Te7 0.742 0.995 0.216
O10 0.176 0.417 0.057
O11 0.929 0.888 0.173
O12 0.933 0.677 0.324
O13 0.506 0.362 0.674
Te8 0.518 0.737 0.526
O14 0.415 0.507 0.896
O15 0.109 0.995 0.597
Zr3 0.373 0.611 0.108
O16 0.709 0.917 0.585
O17 0.322 0.831 0.510
O18 0.891 0.005 0.403
Zr4 0.889 0.112 0.622
O19 0.291 0.083 0.415
O20 0.819 0.244 0.823
O21 0.554 0.821 0.165
Br2 0.365 0.110 0.110
O22 0.678 0.169 0.490
Br3 0.100 0.371 0.368
Br4 0.635 0.890 0.890

---

(4)
The following is a PBEsol calculation of a relaxed Ti3BrO crystal, from Alexandria via LeMat-Bulk.

Calculated values
ΔE_f (raw): -72.3 kJ/mol of atoms
magnetization: 1.24 μB per formula unit
symmetry: No. 221

Unit cell a=4.130 b=4.130 c=4.130 alpha=90.00 beta=90.00 gamma=90.00
Site moments in Bohr magnetons follow the coordinates.
Sites, in units of the cell vectors:
Ti1 0.500 0.000 0.000  0.32
O1 0.000 0.000 0.000  0.00
Br1 0.500 0.500 0.500  0.02
Ti2 0.000 0.000 0.500  0.32
Ti3 0.000 0.500 0.000  0.32

---

(5)
The following is a PBEsol calculation of a relaxed TiBrO crystal, from Alexandria via LeMat-Bulk.

Calculated values
ΔE_f (raw): -208.8 kJ/mol of atoms
magnetization: 0.00 μB per formula unit
symmetry: No. 59

Unit cell a=3.336 b=4.007 c=8.127 alpha=90.00 beta=90.00 gamma=90.00
Sites, in units of the cell vectors:
Br1 0.000 0.000 0.316
Ti1 0.000 0.500 0.923
O1 0.000 0.000 0.930
Br2 0.500 0.500 0.684
O2 0.500 0.500 0.070
Ti2 0.500 0.000 0.077

---

(6)
The following is a PBEsol calculation of a relaxed Tl3BrO crystal, from Alexandria via LeMat-Bulk.

Calculated values
ΔE_f (raw): 48.8 kJ/mol of atoms
magnetization: 0.29 μB per formula unit
symmetry: No. 221

Unit cell a=5.954 b=5.954 c=5.954 alpha=90.00 beta=90.00 gamma=90.00
Site moments in Bohr magnetons follow the coordinates.
Sites, in units of the cell vectors:
O1 0.500 0.500 0.500  0.69
Tl1 0.000 0.000 0.500  -0.04
Tl2 0.500 0.000 0.000  -0.04
Br1 0.000 0.000 0.000  0.00
Tl3 0.000 0.500 0.000  -0.04

---

(7)
The following is a PBEsol calculation of a relaxed TmWBrO4 crystal, from Alexandria via LeMat-Bulk.

Calculated values
ΔE_f (raw): -240.9 kJ/mol of atoms
magnetization: 0.00 μB per formula unit
symmetry: No. 2

Unit cell a=6.841 b=7.165 c=10.802 alpha=101.70 beta=109.28 gamma=95.08
Sites, in units of the cell vectors:
O1 0.027 0.651 0.665
O2 0.657 0.621 0.200
Br1 0.736 0.962 0.485
O3 0.999 0.888 0.202
O4 0.598 0.011 0.194
O5 0.645 0.491 0.441
O6 0.648 0.736 0.954
Tm1 0.337 0.902 0.269
O7 0.001 0.112 0.798
W1 0.753 0.584 0.623
Tm2 0.627 0.332 0.235
O8 0.657 0.783 0.711
O9 0.343 0.379 0.800
O10 0.343 0.217 0.289
Br2 0.264 0.038 0.515
Tm3 0.373 0.668 0.765
W2 0.277 0.186 0.868
Br3 0.197 0.729 0.987
Tm4 0.663 0.098 0.731
O11 0.728 0.388 0.697
O12 0.973 0.349 0.335
O13 0.352 0.264 0.046
W3 0.247 0.416 0.377
W4 0.723 0.814 0.132
O14 0.402 0.989 0.806
O15 0.272 0.612 0.303
Br4 0.803 0.271 0.013
O16 0.355 0.509 0.559

---

(8)
The following is a PBEsol calculation of a relaxed UBrO2 crystal, from Alexandria via LeMat-Bulk.

Calculated values
ΔE_f (raw): -251.3 kJ/mol of atoms
magnetization: 1.00 μB per formula unit
symmetry: No. 63

Unit cell a=3.969 b=4.112 c=10.434 alpha=78.63 beta=90.00 gamma=90.00
Site moments in Bohr magnetons follow the coordinates.
Sites, in units of the cell vectors:
O1 0.250 0.035 0.930  -0.05
U1 0.250 0.924 0.152  1.09
O2 0.750 0.577 0.845  -0.04
U2 0.750 0.076 0.848  1.09
O3 0.750 0.965 0.070  -0.05
Br1 0.750 0.819 0.362  -0.03
Br2 0.250 0.181 0.638  -0.03
O4 0.250 0.423 0.155  -0.04

---

(9)
The following is a PBEsol calculation of a relaxed VBrO crystal, from Alexandria via LeMat-Bulk.

Calculated values
ΔE_f (raw): -154.2 kJ/mol of atoms
magnetization: 2.00 μB per formula unit
symmetry: No. 59

Unit cell a=3.368 b=3.835 c=8.301 alpha=90.00 beta=90.00 gamma=90.00
Site moments in Bohr magnetons follow the coordinates.
Sites, in units of the cell vectors:
V1 0.000 0.000 0.595  1.86
V2 0.500 0.500 0.405  1.86
O1 0.000 0.500 0.551  -0.02
O2 0.500 0.000 0.449  -0.02
Br1 0.500 0.000 0.816  -0.02
Br2 0.000 0.500 0.184  -0.02

---

(10)
The following is a PBEsol calculation of a relaxed WBr2O2 crystal, from Alexandria via LeMat-Bulk.

Calculated values
ΔE_f (raw): -134.9 kJ/mol of atoms
magnetization: 0.00 μB per formula unit
symmetry: No. 51

Unit cell a=3.863 b=7.516 c=8.628 alpha=90.00 beta=90.00 gamma=90.00
Sites, in units of the cell vectors:
Br1 0.002 0.250 0.284
O1 0.485 0.250 0.000
W1 0.946 0.250 0.000
W2 0.054 0.750 0.000
Br2 0.998 0.750 0.716
O2 0.000 0.000 0.000
Br3 0.002 0.250 0.716
O3 0.000 0.500 0.000
Br4 0.998 0.750 0.284
O4 0.515 0.750 0.000

---

(11)
The following is a PBEsol calculation of a relaxed WBr2O crystal, from Alexandria via LeMat-Bulk.

Calculated values
ΔE_f (raw): -70.2 kJ/mol of atoms
magnetization: 0.33 μB per formula unit
symmetry: No. 122

Unit cell a=6.934 b=6.934 c=6.934 alpha=94.28 beta=94.28 gamma=148.28
Site moments in Bohr magnetons follow the coordinates.
Sites, in units of the cell vectors:
Br1 0.222 0.375 0.347  0.01
W1 0.250 0.750 0.500  0.26
O1 0.500 0.500 0.000  -0.01
O2 0.750 0.250 0.500  -0.01
Br2 0.625 0.972 0.847  0.01
Br3 0.028 0.875 0.653  0.01
Br4 0.125 0.778 0.153  0.01
W2 0.000 0.000 0.000  0.26

---

(12)
The following is a PBEsol calculation of a relaxed WBr2O crystal, from Alexandria via LeMat-Bulk.

Calculated values
ΔE_f (raw): 95.2 kJ/mol of atoms
magnetization: 1.23 μB per formula unit
symmetry: No. 166

Unit cell a=3.216 b=3.216 c=8.323 alpha=78.86 beta=78.86 gamma=60.00
Site moments in Bohr magnetons follow the coordinates.
Sites, in units of the cell vectors:
W1 0.000 0.000 0.000  -0.19
O1 0.500 0.500 0.500  0.89
Br1 0.096 0.096 0.712  0.20
Br2 0.904 0.904 0.288  0.20

---

(13)
The following is a PBEsol calculation of a relaxed Y3BrO crystal, from Alexandria via LeMat-Bulk.

Calculated values
ΔE_f (raw): -106.3 kJ/mol of atoms
magnetization: 0.00 μB per formula unit
symmetry: No. 221

Unit cell a=4.739 b=4.739 c=4.739 alpha=90.00 beta=90.00 gamma=90.00
Sites, in units of the cell vectors:
Y1 0.000 0.500 0.000
O1 0.000 0.000 0.000
Y2 0.000 0.000 0.500
Br1 0.500 0.500 0.500
Y3 0.500 0.000 0.000

---

(14)
The following is a PBEsol calculation of a relaxed YBrO2 crystal, from Alexandria via LeMat-Bulk.

Calculated values
ΔE_f (raw): -210.6 kJ/mol of atoms
magnetization: 0.00 μB per formula unit
symmetry: No. 166

Unit cell a=3.608 b=3.608 c=6.388 alpha=73.60 beta=73.60 gamma=60.00
Sites, in units of the cell vectors:
O1 0.886 0.886 0.343
Y1 0.500 0.500 0.500
O2 0.114 0.114 0.657
Br1 0.000 0.000 0.000

---

(15)
The following is a PBEsol calculation of a relaxed ZnBrO2 crystal, from Alexandria via LeMat-Bulk.

Calculated values
ΔE_f (raw): -59.8 kJ/mol of atoms
magnetization: 0.00 μB per formula unit
symmetry: No. 166

Unit cell a=3.154 b=3.154 c=6.249 alpha=75.38 beta=75.38 gamma=60.00
Sites, in units of the cell vectors:
Br1 0.000 0.000 0.000
O1 0.891 0.891 0.327
Zn1 0.500 0.500 0.500
O2 0.109 0.109 0.673

---

(16)
The following is a PBEsol calculation of a relaxed OsBr crystal, from Alexandria via LeMat-Bulk.

Calculated values
ΔE_f (raw): 168.1 kJ/mol of atoms
magnetization: 0.00 μB per formula unit
symmetry: No. 221

Unit cell a=3.169 b=3.169 c=3.170 alpha=90.00 beta=90.00 gamma=90.00
Sites, in units of the cell vectors:
Br1 0.000 0.000 0.000
Os1 0.500 0.500 0.500

---

(17)
The following is a PBEsol calculation of a relaxed OsBr3 crystal, from Alexandria via LeMat-Bulk.

Calculated values
ΔE_f (raw): 34.2 kJ/mol of atoms
magnetization: 0.00 μB per formula unit
symmetry: No. 166

Unit cell a=3.703 b=3.703 c=8.050 alpha=76.70 beta=76.70 gamma=60.00
Sites, in units of the cell vectors:
Br1 0.722 0.722 0.833
Br2 0.278 0.278 0.167
Os1 0.000 0.000 0.000
Br3 0.500 0.500 0.500

---

(18)
The following is a PBEsol calculation of a relaxed Os3Br crystal, from Alexandria via LeMat-Bulk.

Calculated values
ΔE_f (raw): 136.7 kJ/mol of atoms
magnetization: 0.00 μB per formula unit
symmetry: No. 139

Unit cell a=4.085 b=4.594 c=4.085 alpha=63.60 beta=90.00 gamma=116.40
Sites, in units of the cell vectors:
Os1 0.250 0.500 0.250
Br1 0.000 0.000 0.000
Os2 0.750 0.500 0.750
Os3 0.500 0.000 0.500

---

(19)
The following is a PBEsol calculation of a relaxed OsBr crystal, from Alexandria via LeMat-Bulk.

Calculated values
ΔE_f (raw): 75.1 kJ/mol of atoms
magnetization: 0.00 μB per formula unit
symmetry: No. 8

Unit cell a=2.948 b=6.509 c=7.116 alpha=70.92 beta=78.05 gamma=76.91
Sites, in units of the cell vectors:
Os1 0.077 0.323 0.522
Os2 0.764 0.051 0.421
Br1 0.675 0.640 0.009
Br2 0.404 0.687 0.505
Os3 0.277 0.292 0.153
Br3 0.968 0.174 0.889

---

(20)
The following is a PBEsol calculation of a relaxed OsBr crystal, from Alexandria via LeMat-Bulk.

Calculated values
ΔE_f (raw): 88.1 kJ/mol of atoms
magnetization: 0.00 μB per formula unit
symmetry: No. 74

Unit cell a=2.999 b=3.428 c=8.904 alpha=101.10 beta=99.70 gamma=90.00
Sites, in units of the cell vectors:
Os1 0.455 0.705 0.910
Br1 0.148 0.898 0.296
Os2 0.545 0.295 0.090
Br2 0.852 0.102 0.704

---

(21)
The following is a PBEsol calculation of a relaxed OsBr3 crystal, from Alexandria via LeMat-Bulk.

Calculated values
ΔE_f (raw): 26.7 kJ/mol of atoms
magnetization: 0.68 μB per formula unit
symmetry: No. 63

Unit cell a=3.704 b=8.170 c=8.170 alpha=99.14 beta=90.00 gamma=90.00
Site moments in Bohr magnetons follow the coordinates.
Sites, in units of the cell vectors:
Br1 0.750 0.906 0.094  0.50
Br2 0.250 0.094 0.906  0.50
Br3 0.750 0.430 0.167  0.01
Os1 0.750 0.556 0.444  -0.01
Br4 0.250 0.570 0.833  0.01
Os2 0.250 0.444 0.556  -0.01
Br5 0.250 0.167 0.430  0.01
Br6 0.750 0.833 0.570  0.01

---

(22)
The following is a PBEsol calculation of a relaxed Os3Br crystal, from Alexandria via LeMat-Bulk.

Calculated values
ΔE_f (raw): 345.9 kJ/mol of atoms
magnetization: 1.59 μB per formula unit
symmetry: No. 221

Unit cell a=4.504 b=4.504 c=4.504 alpha=90.00 beta=90.00 gamma=90.00
Site moments in Bohr magnetons follow the coordinates.
Sites, in units of the cell vectors:
Os1 0.500 0.000 0.000  0.51
Br1 0.000 0.000 0.000  -0.02
Os2 0.000 0.500 0.000  0.51
Os3 0.000 0.000 0.500  0.51

---

| no. | E (eV/cell) |
| --- | --- |
| 1 | -201.81 |
| 2 | -117.79 |
| 3 | -253.55 |
| 4 | -35.83 |
| 5 | -43.87 |
| 6 | -12.48 |
| 7 | -236.19 |
| 8 | -69.89 |
| 9 | -43.10 |
| 10 | -70.07 |
| 11 | -51.41 |
| 12 | -18.85 |
| 13 | -33.09 |
| 14 | -27.92 |
| 15 | -16.43 |
| 16 | -10.60 |
| 17 | -16.41 |
| 18 | -32.85 |
| 19 | -37.59 |
| 20 | -24.52 |
| 21 | -33.44 |
| 22 | -24.18 |